1.
Material: Ga6SnAu12
Method: DFT, PBE
State: optimized geometry Values from VASP.

Values from the calculation:
total magnetization	0.0	μB/cell
uncorrected energy	-3.32	eV/atom
SG	R-3m
density of states at the Fermi level	6.461	states/eV/f.u.

Quantum ESPRESSO input file:
```
&SYSTEM
  ibrav = 0, nat = 19, ntyp = 3
/
ATOMIC_SPECIES
Ga 69.72 Ga.upf
Sn 118.71 Sn.upf
Au 196.97 Au.upf
ATOMIC_POSITIONS crystal
Ga 0.695 0.296 0.296
Ga 0.296 0.296 0.695
Ga 0.296 0.695 0.296
Ga 0.704 0.704 0.305
Ga 0.305 0.704 0.704
Ga 0.704 0.305 0.704
Sn 0.000 0.000 0.000
Au 0.882 0.118 0.500
Au 0.886 0.643 0.643
Au 0.643 0.643 0.886
Au 0.357 0.114 0.357
Au 0.357 0.357 0.114
Au 0.114 0.357 0.357
Au 0.118 0.500 0.882
Au 0.500 0.882 0.118
Au 0.118 0.882 0.500
Au 0.882 0.500 0.118
Au 0.500 0.118 0.882
Au 0.643 0.886 0.643
CELL_PARAMETERS angstrom
-0.996 -2.931 -6.991
6.927 3.235 0.130
0.149 -5.860 4.908
```

2.
Material: Ga2SnAu
Method: DFT, PBE
State: optimized geometry Values from VASP.

Values from the calculation:
total magnetization	0.0	μB/cell
uncorrected energy	-3.37	eV/atom
SG	P4/mmm
density of states at the Fermi level	1.399	states/eV/f.u.

Quantum ESPRESSO input file:
```
&SYSTEM
  ibrav = 0, nat = 4, ntyp = 3
/
ATOMIC_SPECIES
Au 196.97 Au.upf
Sn 118.71 Sn.upf
Ga 69.72 Ga.upf
ATOMIC_POSITIONS crystal
Au 0.500 0.500 0.000
Sn 0.500 0.500 0.500
Ga 0.000 0.000 0.789
Ga 0.000 0.000 0.211
CELL_PARAMETERS angstrom
-0.467 2.498 -2.303
1.568 -1.904 -2.383
-6.222 -2.844 -1.823
```

3.
Material: Ga3SnAu7
Method: DFT, PBE
State: optimized geometry Values from VASP.

Values from the calculation:
total magnetization	0.0	μB/cell
uncorrected energy	-3.34	eV/atom
SG	C2/m
density of states at the Fermi level	4.267	states/eV/f.u.

Quantum ESPRESSO input file:
```
&SYSTEM
  ibrav = 0, nat = 11, ntyp = 3
/
ATOMIC_SPECIES
Ga 69.72 Ga.upf
Sn 118.71 Sn.upf
Au 196.97 Au.upf
ATOMIC_POSITIONS crystal
Ga 0.000 0.808 0.192
Ga 0.500 0.000 0.000
Ga 0.000 0.192 0.808
Sn 0.500 0.500 0.500
Au 0.192 0.212 0.212
Au 0.286 0.954 0.605
Au 0.714 0.395 0.046
Au 0.286 0.605 0.954
Au 0.000 0.500 0.500
Au 0.714 0.046 0.395
Au 0.808 0.788 0.788
CELL_PARAMETERS angstrom
5.721 -0.001 -0.571
-0.624 6.123 0.141
-0.025 0.316 6.148
```

4.
Material: Ga2SnAu4
Method: DFT, PBE
State: optimized geometry Values from VASP.

Values from the calculation:
total magnetization	0.0	μB/cell
uncorrected energy	-3.44	eV/atom
SG	R-3m
energy above the most stable polymorph in this dataset	0.005	eV/atom
density of states at the Fermi level	2.386	states/eV/f.u.

Quantum ESPRESSO input file:
```
&SYSTEM
  ibrav = 0, nat = 7, ntyp = 3
/
ATOMIC_SPECIES
Ga 69.72 Ga.upf
Sn 118.71 Sn.upf
Au 196.97 Au.upf
ATOMIC_POSITIONS crystal
Ga 0.799 0.799 0.602
Ga 0.201 0.201 0.398
Sn 0.000 0.000 0.000
Au 0.894 0.894 0.318
Au 0.106 0.106 0.682
Au 0.614 0.614 0.158
Au 0.386 0.386 0.842
CELL_PARAMETERS angstrom
-0.537 -1.864 -3.802
-0.127 -4.256 -0.291
-9.582 -1.845 -0.138
```

5.
Material: Ga3SnAu3
Method: DFT, PBE
State: optimized geometry Values from VASP.

Values from the calculation:
total magnetization	0.0	μB/cell
uncorrected energy	-3.39	eV/atom
SG	R-3
energy above the most stable polymorph in this dataset	0.000	eV/atom
density of states at the Fermi level	3.460	states/eV/f.u.

Quantum ESPRESSO input file:
```
&SYSTEM
  ibrav = 0, nat = 14, ntyp = 3
/
ATOMIC_SPECIES
Ga 69.72 Ga.upf
Sn 118.71 Sn.upf
Au 196.97 Au.upf
ATOMIC_POSITIONS crystal
Ga 0.425 0.801 0.660
Ga 0.801 0.114 0.660
Ga 0.114 0.425 0.660
Ga 0.886 0.575 0.340
Ga 0.199 0.886 0.340
Ga 0.575 0.199 0.340
Sn 0.334 0.334 0.998
Sn 0.666 0.666 0.002
Au 0.265 0.582 0.231
Au 0.922 0.265 0.231
Au 0.582 0.922 0.231
Au 0.418 0.078 0.769
Au 0.078 0.735 0.769
Au 0.735 0.418 0.769
CELL_PARAMETERS angstrom
-5.121 -5.666 -0.546
-1.962 -4.000 6.227
-6.970 0.832 3.046
```

6.
Material: Ga2SnAu2
Method: DFT, PBE
State: optimized geometry Values from VASP.

Values from the calculation:
total magnetization	0.0	μB/cell
uncorrected energy	-3.49	eV/atom
SG	P-3m1
energy above the most stable polymorph in this dataset	0.000	eV/atom
density of states at the Fermi level	1.781	states/eV/f.u.

Quantum ESPRESSO input file:
```
&SYSTEM
  ibrav = 0, nat = 5, ntyp = 3
/
ATOMIC_SPECIES
Ga 69.72 Ga.upf
Sn 118.71 Sn.upf
Au 196.97 Au.upf
ATOMIC_POSITIONS crystal
Ga 0.667 0.333 0.644
Ga 0.333 0.667 0.356
Sn 0.000 0.000 0.000
Au 0.667 0.333 0.234
Au 0.333 0.667 0.766
CELL_PARAMETERS angstrom
2.183 -3.781 0.000
2.183 3.781 0.000
0.000 0.000 6.603
```

7.
Material: GaSnAu5
Method: DFT, PBE
State: optimized geometry Values from VASP.

Values from the calculation:
total magnetization	0.0	μB/cell
uncorrected energy	-3.39	eV/atom
SG	P4/mmm
density of states at the Fermi level	2.667	states/eV/f.u.

Quantum ESPRESSO input file:
```
&SYSTEM
  ibrav = 0, nat = 7, ntyp = 3
/
ATOMIC_SPECIES
Ga 69.72 Ga.upf
Sn 118.71 Sn.upf
Au 196.97 Au.upf
ATOMIC_POSITIONS crystal
Ga 0.000 0.000 0.500
Sn 0.000 0.000 0.000
Au 0.500 0.000 0.711
Au 0.000 0.500 0.711
Au 0.500 0.500 0.000
Au 0.000 0.500 0.289
Au 0.500 0.000 0.289
CELL_PARAMETERS angstrom
-2.497 3.131 1.769
-3.389 -1.329 -2.432
-1.975 -4.527 5.226
```

8.
Material: GaSnAu3
Method: DFT, PBE
State: optimized geometry Values from VASP.

Values from the calculation:
total magnetization	0.0	μB/cell
uncorrected energy	-3.50	eV/atom
SG	C2/m
energy above the most stable polymorph in this dataset	0.001	eV/atom
density of states at the Fermi level	1.572	states/eV/f.u.

Quantum ESPRESSO input file:
```
&SYSTEM
  ibrav = 0, nat = 10, ntyp = 3
/
ATOMIC_SPECIES
Ga 69.72 Ga.upf
Sn 118.71 Sn.upf
Au 196.97 Au.upf
ATOMIC_POSITIONS crystal
Ga 0.409 0.281 0.900
Ga 0.591 0.719 0.100
Sn 0.136 0.191 0.537
Sn 0.864 0.809 0.463
Au 0.897 0.476 0.729
Au 0.103 0.524 0.271
Au 0.613 0.989 0.785
Au 0.387 0.011 0.215
Au 0.765 0.294 0.176
Au 0.235 0.706 0.824
CELL_PARAMETERS angstrom
-2.835 0.612 2.636
3.808 -1.099 7.265
1.206 6.485 2.707
```

9.
Material: GaSnAu5
Method: DFT, PBE
State: optimized geometry Values from VASP.

Values from the calculation:
total magnetization	0.0	μB/cell
uncorrected energy	-3.39	eV/atom
SG	C2/c
density of states at the Fermi level	1.387	states/eV/f.u.

Quantum ESPRESSO input file:
```
&SYSTEM
  ibrav = 0, nat = 14, ntyp = 3
/
ATOMIC_SPECIES
Ga 69.72 Ga.upf
Sn 118.71 Sn.upf
Au 196.97 Au.upf
ATOMIC_POSITIONS crystal
Ga 0.445 0.555 0.750
Ga 0.555 0.445 0.250
Sn 0.000 0.000 0.000
Sn 0.000 0.000 0.500
Au 0.447 0.040 0.779
Au 0.563 0.728 0.501
Au 0.040 0.447 0.279
Au 0.892 0.108 0.750
Au 0.272 0.437 0.999
Au 0.728 0.563 0.001
Au 0.108 0.892 0.250
Au 0.960 0.553 0.721
Au 0.437 0.272 0.499
Au 0.553 0.960 0.221
CELL_PARAMETERS angstrom
5.279 0.918 -1.602
0.825 5.295 -1.602
-2.000 -2.036 11.460
```

10.
Material: Ga2Sn2Au5
Method: DFT, PBE
State: optimized geometry Values from VASP.

Values from the calculation:
total magnetization	0.0	μB/cell
uncorrected energy	-3.51	eV/atom
SG	C2/m
energy above the most stable polymorph in this dataset	0.045	eV/atom
density of states at the Fermi level	3.626	states/eV/f.u.

Quantum ESPRESSO input file:
```
&SYSTEM
  ibrav = 0, nat = 9, ntyp = 3
/
ATOMIC_SPECIES
Ga 69.72 Ga.upf
Sn 118.71 Sn.upf
Au 196.97 Au.upf
ATOMIC_POSITIONS crystal
Ga 0.125 0.251 0.850
Ga 0.875 0.749 0.150
Sn 0.371 0.742 0.654
Sn 0.629 0.258 0.346
Au 0.357 0.713 0.974
Au 0.643 0.287 0.026
Au 0.115 0.229 0.529
Au 0.885 0.771 0.471
Au 0.000 0.000 0.000
CELL_PARAMETERS angstrom
-2.530 -1.275 3.580
5.763 -4.435 -0.418
-0.356 8.151 2.652
```

11.
Material: Ga2SnAu
Method: DFT, PBE
State: optimized geometry Values from VASP.

Values from the calculation:
total magnetization	0.0	μB/cell
uncorrected energy	-3.38	eV/atom
SG	R-3m
density of states at the Fermi level	1.692	states/eV/f.u.

Quantum ESPRESSO input file:
```
&SYSTEM
  ibrav = 0, nat = 4, ntyp = 3
/
ATOMIC_SPECIES
Au 196.97 Au.upf
Sn 118.71 Sn.upf
Ga 69.72 Ga.upf
ATOMIC_POSITIONS crystal
Au 0.500 0.500 0.500
Sn 0.000 0.000 0.000
Ga 0.100 0.100 0.699
Ga 0.900 0.900 0.301
CELL_PARAMETERS angstrom
-2.095 -2.493 0.839
1.212 -2.833 1.346
-1.208 1.804 9.086
```

12.
Material: Ga4Sn3Au4
Method: DFT, PBE
State: optimized geometry Values from VASP.

Values from the calculation:
total magnetization	0.0	μB/cell
uncorrected energy	-3.53	eV/atom
SG	Immm
density of states at the Fermi level	4.890	states/eV/f.u.

Quantum ESPRESSO input file:
```
&SYSTEM
  ibrav = 0, nat = 11, ntyp = 3
/
ATOMIC_SPECIES
Ga 69.72 Ga.upf
Sn 118.71 Sn.upf
Au 196.97 Au.upf
ATOMIC_POSITIONS crystal
Ga 0.325 0.117 0.649
Ga 0.675 0.468 0.351
Ga 0.675 0.883 0.351
Ga 0.325 0.532 0.649
Sn 0.108 0.108 0.216
Sn 0.892 0.892 0.784
Sn 0.000 0.500 0.000
Au 0.221 0.721 0.442
Au 0.779 0.279 0.558
Au 0.500 0.782 0.000
Au 0.500 0.218 0.000
CELL_PARAMETERS angstrom
-2.161 -3.265 0.352
4.296 -2.143 6.507
-5.759 6.269 0.842
```